[1]
Material: Ge2HIr
Method: DFT, PBE-GGA
State: optimized geometry

* offset from the most stable computed form: 47 meV per atom
* crystal system: tetragonal
* calculated total energy: -39.9 eV/cell
* space-group type: No. 122
* total moment: 0.000 μB per cell

a = 6.7358 Å, b = 6.7358 Å, c = 6.7358 Å
α = 139.62°, β = 139.62°, γ = 58.42°
Atoms (fractional coordinates):
Ge 0.0489 0.6250 0.9239
Ge 0.3750 0.2989 0.4239
Ge 0.7011 0.1250 0.0761
Ge 0.8750 0.9511 0.5761
H 0.0000 0.0000 0.0000
H 0.7500 0.2500 0.5000
Ir 0.2500 0.7500 0.5000
Ir 0.5000 0.5000 0.0000

---

[2]
Material: AlIn2Si2
Method: DFT, PBE-GGA
State: optimized geometry

* crystal system: tetragonal
* calculated total energy: -18.6 eV/cell
* space-group type: No. 139
* formation energy (no corrections): 286 meV/atom
* total moment: 0.000 μB per cell

a = 9.1681 Å, b = 9.1681 Å, c = 9.1681 Å
α = 158.17°, β = 158.17°, γ = 31.06°
Atoms (fractional coordinates):
Al 0.0000 0.0000 0.0000
In 0.3939 0.3939 0.0000
In 0.6061 0.6061 0.0000
Si 0.2500 0.7500 0.5000
Si 0.7500 0.2500 0.5000

---

[3]
Material: Ce2AsN
Method: DFT, PBE-GGA
State: optimized geometry

* offset from the most stable computed form: 265 meV per atom
* crystal system: trigonal
* calculated total energy: -29.1 eV/cell
* space-group type: No. 160
* formation energy (no corrections): -1063 meV/atom
* total moment: 1.749 μB per cell

a = 7.2353 Å, b = 7.2353 Å, c = 7.2353 Å
α = 30.05°, β = 30.05°, γ = 30.05°
Atoms (fractional coordinates):
Ce 0.0000 0.0000 0.0000
Ce 0.1451 0.1451 0.1451
As 0.5721 0.5721 0.5721
N 0.3974 0.3974 0.3974

---

[4]
Material: TlSb2Te3
Method: DFT, PBE-GGA
State: optimized geometry

* crystal system: orthorhombic
* calculated total energy: -41.0 eV/cell
* space-group type: No. 26
* formation energy (no corrections): -77 meV/atom
* total moment: 0.000 μB per cell

a = 4.2075 Å, b = 12.2589 Å, c = 7.9158 Å
α = 90.00°, β = 90.00°, γ = 90.00°
Atoms (fractional coordinates):
Tl 0.0000 0.1404 0.0000
Tl 0.0000 0.8596 0.5000
Sb 0.0000 0.1735 0.4666
Sb 0.0000 0.8265 0.9666
Sb 0.5000 0.4923 0.9511
Sb 0.5000 0.5077 0.4511
Te 0.0000 0.3809 0.7439
Te 0.0000 0.6191 0.2439
Te 0.5000 0.0681 0.6734
Te 0.5000 0.3086 0.2457
Te 0.5000 0.6914 0.7457
Te 0.5000 0.9319 0.1734

---

[5]
Material: DyAl3ZnCo
Method: DFT, PBE-GGA
State: optimized geometry

* DFT formation energy: -0.23 eV/atom
* crystal system: orthorhombic
* calculated total energy: -51.2 eV/cell
* space-group type: No. 63
* total moment: 0.000 μB per cell

a = 6.8333 Å, b = 6.8333 Å, c = 5.6361 Å
α = 90.00°, β = 90.00°, γ = 126.65°
Atoms (fractional coordinates):
Dy 0.2265 0.7735 0.7500
Dy 0.7735 0.2265 0.2500
Al 0.2108 0.2108 0.0000
Al 0.2108 0.2108 0.5000
Al 0.3658 0.6342 0.2500
Al 0.6342 0.3658 0.7500
Al 0.7892 0.7892 0.0000
Al 0.7892 0.7892 0.5000
Zn 0.1537 0.8463 0.2500
Zn 0.8463 0.1537 0.7500
Co 0.4355 0.5645 0.7500
Co 0.5645 0.4355 0.2500

---

[6]
Material: LiZnPCl2
Method: DFT, PBE-GGA
State: optimized geometry

* offset from the most stable computed form: 0 meV per atom
* crystal system: tetragonal
* calculated total energy: -13.8 eV/cell
* space-group type: No. 123
* formation energy (no corrections): -307 meV/atom
* total moment: 2.004 μB per cell

a = 5.2260 Å, b = 5.2260 Å, c = 4.6374 Å
α = 90.00°, β = 90.00°, γ = 90.00°
Atoms (fractional coordinates):
Li 0.0000 0.0000 0.0000
Zn 0.5000 0.5000 0.5000
P 0.5000 0.5000 0.0000
Cl 0.0000 0.5000 0.5000
Cl 0.5000 0.0000 0.5000

---

[7]
Material: Cs2CdSbP
Method: DFT, PBE-GGA
State: optimized geometry

* crystal system: tetragonal
* calculated total energy: -10.5 eV/cell
* space-group type: No. 123
* formation energy (no corrections): 338 meV/atom
* total moment: 2.300 μB per cell

a = 7.3122 Å, b = 7.3122 Å, c = 5.2746 Å
α = 90.00°, β = 90.00°, γ = 90.00°
Atoms (fractional coordinates):
Cs 0.0000 0.5000 0.0000
Cs 0.5000 0.0000 0.0000
Cd 0.0000 0.0000 0.0000
Sb 0.0000 0.0000 0.5000
P 0.5000 0.5000 0.5000

---

[8]
Material: CaLaRh2Pb4
Method: DFT, PBE-GGA
State: optimized geometry

* DFT formation energy: -0.26 eV/atom
* crystal system: tetragonal
* calculated total energy: -38.6 eV/cell
* space-group type: No. 123
* total moment: 0.000 μB per cell

a = 4.4821 Å, b = 4.4821 Å, c = 11.1698 Å
α = 90.00°, β = 90.00°, γ = 90.00°
Atoms (fractional coordinates):
Ca 0.0000 0.0000 0.0000
La 0.0000 0.0000 0.5000
Rh 0.5000 0.5000 0.3895
Rh 0.5000 0.5000 0.6105
Pb 0.0000 0.5000 0.2279
Pb 0.0000 0.5000 0.7721
Pb 0.5000 0.0000 0.2279
Pb 0.5000 0.0000 0.7721

---

Q: Which of these has the highest total moment?
A: Cs2CdSbP

---

Q: Among the records above, which one has the lowest calculated total energy?
A: DyAl3ZnCo

---

Q: Which formula does entry 3 have?
A: Ce2AsN